# 1
{"formula": "LaTcSn3", "functional": "PBE-GGA", "state": "optimized geometry", "relative_energy_mev_per_atom": 0.0, "sg": "No. 221", "e_form_kj_per_mol_fu": -8, "lattice_angstrom": [[5.1818, 0.0000, 0.0000], [0.0000, 5.1818, 0.0000], [0.0000, 0.0000, 5.1818]], "species": ["La", "Tc", "Sn", "Sn", "Sn"], "fractional_positions": [[0.0000, 0.0000, 0.0000], [0.5000, 0.5000, 0.5000], [0.0000, 0.5000, 0.5000], [0.5000, 0.0000, 0.5000], [0.5000, 0.5000, 0.0000]]}

# 2
{"formula": "LaTc2Sn2", "functional": "PBE-GGA", "state": "optimized geometry", "relative_energy_mev_per_atom": 158.2, "sg": "No. 127", "e_form_kj_per_mol_fu": -13, "lattice_angstrom": [[7.8669, 0.0000, 0.0000], [0.0000, 7.8669, 0.0000], [0.0000, 0.0000, 3.3160]], "species": ["La", "La", "Tc", "Tc", "Tc", "Tc", "Sn", "Sn", "Sn", "Sn"], "fractional_positions": [[0.0000, 0.0000, 0.0000], [0.5000, 0.5000, 0.0000], [0.1422, 0.3578, 0.0000], [0.3578, 0.8578, 0.0000], [0.6422, 0.1422, 0.0000], [0.8578, 0.6422, 0.0000], [0.1498, 0.6498, 0.5000], [0.3502, 0.1498, 0.5000], [0.6498, 0.8502, 0.5000], [0.8502, 0.3502, 0.5000]]}

# 3
{"formula": "LaTcSn3", "functional": "PBE-GGA", "state": "optimized geometry", "relative_energy_mev_per_atom": 1865.7, "sg": "No. 221", "e_form_kj_per_mol_fu": 893, "lattice_angstrom": [[5.7816, 0.0000, 0.0000], [0.0000, 5.7816, 0.0000], [0.0000, 0.0000, 5.7816]], "species": ["La", "Tc", "Sn", "Sn", "Sn"], "fractional_positions": [[0.0000, 0.0000, 0.0000], [0.5000, 0.5000, 0.5000], [0.0000, 0.0000, 0.5000], [0.0000, 0.5000, 0.0000], [0.5000, 0.0000, 0.0000]]}

# 4
{"formula": "LaTcSn", "functional": "PBE-GGA", "state": "optimized geometry", "sg": "No. 64", "e_form_kj_per_mol_fu": -36, "lattice_angstrom": [[3.2737, -5.9232, 0.0000], [3.2737, 5.9232, 0.0000], [0.0000, 0.0000, 7.6301]], "species": ["La", "La", "La", "La", "Tc", "Tc", "Tc", "Tc", "Sn", "Sn", "Sn", "Sn"], "fractional_positions": [[0.2000, 0.8000, 0.9119], [0.3000, 0.7000, 0.4119], [0.7000, 0.3000, 0.5881], [0.8000, 0.2000, 0.0881], [0.1070, 0.8930, 0.5248], [0.3930, 0.6070, 0.0248], [0.6070, 0.3930, 0.9752], [0.8930, 0.1070, 0.4752], [0.2158, 0.2842, 0.7500], [0.2842, 0.2158, 0.2500], [0.7158, 0.7842, 0.7500], [0.7842, 0.7158, 0.2500]]}

# 5
{"formula": "La2TcSn8", "functional": "PBE-GGA", "state": "optimized geometry", "sg": "No. 123", "e_form_kj_per_mol_fu": -456, "lattice_angstrom": [[4.7898, 0.0000, 0.0000], [0.0000, 4.7898, 0.0000], [0.0000, 0.0000, 12.4584]], "species": ["La", "La", "Tc", "Sn", "Sn", "Sn", "Sn", "Sn", "Sn", "Sn", "Sn"], "fractional_positions": [[0.0000, 0.0000, 0.1961], [0.0000, 0.0000, 0.8039], [0.0000, 0.0000, 0.5000], [0.0000, 0.5000, 0.0000], [0.0000, 0.5000, 0.3806], [0.0000, 0.5000, 0.6194], [0.5000, 0.0000, 0.0000], [0.5000, 0.0000, 0.3806], [0.5000, 0.0000, 0.6194], [0.5000, 0.5000, 0.1907], [0.5000, 0.5000, 0.8093]]}

# 6
{"formula": "LaTcSnTe2", "functional": "PBE-GGA", "state": "optimized geometry", "sg": "No. 123", "formation_energy_uncorrected_ev_per_atom": -0.094, "lattice_angstrom": [[5.2927, 0.0000, 0.0000], [0.0000, 5.2927, 0.0000], [0.0000, 0.0000, 5.2190]], "species": ["La", "Tc", "Sn", "Te", "Te"], "fractional_positions": [[0.0000, 0.0000, 0.0000], [0.0000, 0.0000, 0.5000], [0.5000, 0.5000, 0.0000], [0.0000, 0.5000, 0.5000], [0.5000, 0.0000, 0.5000]]}

# 7
{"formula": "LaSnTe2", "functional": "PBE-GGA", "state": "optimized geometry", "sg": "No. 122", "formation_energy_uncorrected_ev_per_atom": -0.573, "lattice_angstrom": [[-3.0058, 3.0058, 9.2286], [3.0058, -3.0058, 9.2286], [3.0058, 3.0058, -9.2286]], "species": ["La", "La", "Sn", "Sn", "Te", "Te", "Te", "Te"], "fractional_positions": [[0.0000, 0.0000, 0.0000], [0.7500, 0.2500, 0.5000], [0.2500, 0.7500, 0.5000], [0.5000, 0.5000, 0.0000], [0.1268, 0.6250, 0.0018], [0.3750, 0.3768, 0.5018], [0.6232, 0.1250, 0.9982], [0.8750, 0.8732, 0.4982]]}

# 8
{"formula": "La2SnTe", "functional": "PBE-GGA", "state": "optimized geometry", "relative_energy_mev_per_atom": 93.1, "sg": "No. 160", "formation_energy_uncorrected_ev_per_atom": -1.119, "lattice_angstrom": [[2.2817, 1.3174, 7.9428], [-2.2817, 1.3174, 7.9428], [0.0000, -2.6347, 7.9428]], "species": ["La", "La", "Sn", "Te"], "fractional_positions": [[0.0000, 0.0000, 0.0000], [0.1784, 0.1784, 0.1784], [0.5897, 0.5897, 0.5897], [0.4205, 0.4205, 0.4205]]}

What did we get for total magnetization? Answer: 0.00, 0.00, 0.00, 0.00, 0.00, 0.00, 0.00, 0.00 μB per cell, in the order shown.